1.
AcErPO (GGA-PBE, optimized geometry); final energy = -6.815 eV per atom
1.0
4.485 0.000 0.000
0.000 5.278 0.000
0.000 0.000 7.471
Ac P Er O
2 2 2 2
Direct
0.000 0.359 0.090
0.000 0.641 0.590
0.500 0.345 0.795
0.500 0.655 0.295
0.500 0.853 0.943
0.500 0.147 0.443
0.000 0.189 0.426
0.000 0.811 0.926


2.
AcCuAu (GGA-PBE, optimized geometry); formation energy = -0.167 eV/f.u.; final energy = -3.752 eV per atom
1.0
0.000 3.593 3.593
3.593 0.000 3.593
3.593 3.593 0.000
Cu Au Ac
1 1 1
Direct
0.750 0.750 0.750
0.250 0.250 0.250
0.000 0.000 0.000


3.
ZrOF2 (GGA-PBE, optimized geometry); final energy = -7.725 eV per atom
1.0
12.356 0.000 0.000
0.000 13.923 0.000
0.000 0.000 3.435
F Zr O
24 12 12
Direct
0.573 0.905 0.500
0.073 0.595 0.500
0.388 0.774 0.500
0.427 0.095 0.500
0.127 0.439 0.000
0.373 0.939 0.000
0.973 0.235 0.000
0.473 0.265 0.000
0.612 0.226 0.500
0.527 0.735 0.000
0.670 0.615 0.500
0.627 0.061 0.000
0.330 0.385 0.500
0.112 0.274 0.500
0.458 0.609 0.500
0.027 0.765 0.000
0.042 0.109 0.500
0.888 0.726 0.500
0.830 0.115 0.500
0.542 0.391 0.500
0.958 0.891 0.500
0.170 0.885 0.500
0.873 0.561 0.000
0.927 0.405 0.500
0.134 0.168 0.000
0.866 0.832 0.000
0.784 0.504 0.500
0.366 0.668 0.000
0.137 0.739 0.500
0.863 0.261 0.500
0.363 0.239 0.500
0.216 0.496 0.500
0.716 0.004 0.500
0.634 0.332 0.000
0.284 0.996 0.500
0.637 0.761 0.500
0.224 0.756 0.000
0.693 0.476 0.000
0.307 0.524 0.000
0.739 0.361 0.500
0.724 0.744 0.000
0.261 0.639 0.500
0.239 0.139 0.500
0.807 0.976 0.000
0.276 0.256 0.000
0.193 0.024 0.000
0.776 0.244 0.000
0.761 0.861 0.500


Question: What is the final energy in the third record?
Answer: -7.725 eV per atom